VASP calculation (PBE-GGA) on crystalline Nd2ZnCuRh2 at its relaxed geometry.

Output
symmetry = Ibam, No. 72
calculated formation energy = -11.82 kcal/mol of atoms
final energy = -0.20018 hartree per atom
mass density = 8553 kg/m³

abc: 8.3096 8.3096 8.3096
angles: 139.54 58.97 138.99
With the nearest neighbours (Å) after each atom.
Positions (direct):
Nd: 0.1659 0.2421 0.4080  5 Rh 2.95-3.11, 2 Cu 3.13, 2 Zn 3.17
Nd: 0.3341 0.7421 0.0762  5 Rh 2.95-3.11, 2 Cu 3.13, 2 Zn 3.17
Nd: 0.6659 0.2579 0.9238  5 Rh 2.95-3.11, 2 Cu 3.13, 2 Zn 3.17
Nd: 0.8341 0.7579 0.5920  5 Rh 2.95-3.11, 2 Cu 3.13, 2 Zn 3.17
Zn: 0.2500 0.7500 0.5000  4 Rh 2.65, 2 Cu 2.87, 2 Zn 2.91
Zn: 0.7500 0.2500 0.5000  4 Rh 2.65, 2 Cu 2.87, 2 Zn 2.91
Cu: 0.2500 0.2500 0.0000  4 Rh 2.69, 2 Zn 2.87, 2 Cu 2.91
Cu: 0.7500 0.7500 0.0000  4 Rh 2.69, 2 Zn 2.87, 2 Cu 2.91
Rh: 0.1188 0.7431 0.8620  2 Zn 2.65, 2 Cu 2.69, 2 Nd 2.95-2.96
Rh: 0.3812 0.2431 0.6243  2 Zn 2.65, 2 Cu 2.69, 2 Nd 2.95-2.96
Rh: 0.6188 0.7569 0.3757  2 Zn 2.65, 2 Cu 2.69, 2 Nd 2.95-2.96
Rh: 0.8812 0.2569 0.1380  2 Zn 2.65, 2 Cu 2.69, 2 Nd 2.95-2.96



VASP calculation (PBE-GGA) on crystalline NdZrCuRh at its relaxed geometry.

Output
symmetry = F-43m, No. 216
calculated formation energy = -7.19 kcal/mol of atoms
final energy = -0.23897 hartree per atom
mass density = 8266 kg/m³

abc: 4.8515 4.8515 4.8515
angles: 60.00 60.00 60.00
With the nearest neighbours (Å) after each atom.
Positions (direct):
Nd: 0.0000 0.0000 0.0000  4 Cu 2.97, 4 Rh 2.97
Zr: 0.5000 0.5000 0.5000  4 Cu 2.97, 4 Rh 2.97
Cu: 0.7500 0.7500 0.7500  4 Nd 2.97, 4 Zr 2.97
Rh: 0.2500 0.2500 0.2500  4 Zr 2.97, 4 Nd 2.97



VASP calculation (PBE-GGA) on crystalline Nd6Cu2Ru at its relaxed geometry.

Output
symmetry = P2_1/c, No. 14
calculated formation energy = -2.06 kcal/mol of atoms
final energy = -0.19142 hartree per atom
mass density = 6921 kg/m³

abc: 6.6511 7.5163 12.3817
angles: 90.00 122.03 90.00
With the nearest neighbours (Å) after each atom.
Positions (direct):
Nd: 0.0875 0.1830 0.4301  1 Ru 2.77, 2 Cu 2.95-3.08
Nd: 0.0875 0.3170 0.9301  1 Ru 2.77, 2 Cu 2.95-3.08
Nd: 0.2550 0.6778 0.4297  1 Ru 2.79, 2 Cu 2.97-3.02
Nd: 0.2550 0.8222 0.9297  1 Ru 2.79, 2 Cu 2.97-3.02
Nd: 0.3982 0.0353 0.2506  1 Ru 2.80, 2 Cu 2.99
Nd: 0.3982 0.4647 0.7506  1 Ru 2.80, 2 Cu 2.99
Nd: 0.6018 0.5353 0.2494  1 Ru 2.80, 2 Cu 2.99
Nd: 0.6018 0.9647 0.7494  1 Ru 2.80, 2 Cu 2.99
Nd: 0.7450 0.1778 0.0703  1 Ru 2.79, 2 Cu 2.97-3.02
Nd: 0.7450 0.3222 0.5703  1 Ru 2.79, 2 Cu 2.97-3.02
Nd: 0.9125 0.6830 0.0699  1 Ru 2.77, 2 Cu 2.95-3.08
Nd: 0.9125 0.8170 0.5699  1 Ru 2.77, 2 Cu 2.95-3.08
Cu: 0.1796 0.1141 0.7440  6 Nd 2.95-3.08
Cu: 0.1796 0.3859 0.2440  6 Nd 2.95-3.08
Cu: 0.8204 0.6141 0.7560  6 Nd 2.95-3.08
Cu: 0.8204 0.8859 0.2560  6 Nd 2.95-3.08
Ru: 0.5000 0.0000 0.5000  6 Nd 2.77-2.80
Ru: 0.5000 0.5000 0.0000  6 Nd 2.77-2.80